Record 1
{
  "formula": "LiMg2Al",
  "functional": "meta-GGA SCAN",
  "state": "PBEsol geometry",
  "lattice_angstrom": [[0.000, 3.360, 3.360], [3.360, 0.000, 3.360], [3.360, 3.360, 0.000]],
  "species": ["Li", "Mg", "Mg", "Al"],
  "fractional_positions": [[0.000, 0.000, 0.000], [0.500, 0.500, 0.500], [0.750, 0.750, 0.750], [0.250, 0.250, 0.250]],
  "formation_energy_ev_per_atom": -0.02,
  "crystal_system": "cubic"
}

Record 2
{
  "formula": "Zr2Co2Ag",
  "functional": "meta-GGA SCAN",
  "state": "PBEsol geometry",
  "lattice_angstrom": [[7.020, 0.000, 0.000], [0.000, 7.020, 0.000], [0.000, 0.000, 3.183]],
  "species": ["Zr", "Zr", "Zr", "Zr", "Co", "Co", "Co", "Co", "Ag", "Ag"],
  "fractional_positions": [[0.165, 0.335, 0.000], [0.335, 0.835, 0.000], [0.665, 0.165, 0.000], [0.835, 0.665, 0.000], [0.132, 0.632, 0.500], [0.368, 0.132, 0.500], [0.632, 0.868, 0.500], [0.868, 0.368, 0.500], [0.000, 0.000, 0.500], [0.500, 0.500, 0.500]],
  "formation_energy_ev_per_atom": -0.17,
  "crystal_system": "tetragonal"
}

Record 3
{
  "formula": "BeCr2Mo",
  "functional": "meta-GGA SCAN",
  "state": "PBEsol geometry",
  "lattice_angstrom": [[-1.470, 2.013, 3.961], [1.470, -2.013, 3.961], [1.470, 2.013, -3.961]],
  "species": ["Be", "Cr", "Cr", "Mo"],
  "fractional_positions": [[0.000, 0.000, 0.000], [0.254, 0.754, 0.500], [0.482, 0.482, 0.000], [0.733, 0.233, 0.500]],
  "formation_energy_ev_per_atom": 0.14,
  "crystal_system": "orthorhombic"
}

Record 4
{
  "formula": "ScOsI2F",
  "functional": "meta-GGA SCAN",
  "state": "PBEsol geometry",
  "lattice_angstrom": [[5.324, 0.000, 0.000], [0.000, 5.324, 0.000], [0.000, 0.000, 3.845]],
  "species": ["Sc", "Os", "I", "I", "F"],
  "fractional_positions": [[0.000, 0.000, 0.000], [0.500, 0.500, 0.000], [0.000, 0.500, 0.500], [0.500, 0.000, 0.500], [0.500, 0.500, 0.500]],
  "raw_formation_energy_ev_per_atom": 0.431,
  "crystal_system": "tetragonal"
}

Record 5
{
  "formula": "MnCu2Pb",
  "functional": "meta-GGA SCAN",
  "state": "PBEsol geometry",
  "lattice_angstrom": [[4.094, 0.000, 0.000], [0.000, 1.549, 5.082], [0.000, -1.549, 5.082]],
  "species": ["Mn", "Cu", "Cu", "Pb"],
  "fractional_positions": [[0.000, 0.000, 0.000], [0.000, 0.706, 0.706], [0.500, 0.576, 0.576], [0.500, 0.317, 0.317]],
  "formation_energy_ev_per_atom": 0.17,
  "crystal_system": "orthorhombic"
}

Record 6
{
  "formula": "Zr2SbBr",
  "functional": "meta-GGA SCAN",
  "state": "PBEsol geometry",
  "lattice_angstrom": [[-2.434, 2.434, 8.756], [2.434, -2.434, 8.756], [2.434, 2.434, -8.756]],
  "species": ["Zr", "Zr", "Zr", "Zr", "Sb", "Sb", "Br", "Br"],
  "fractional_positions": [[0.109, 0.625, 0.984], [0.375, 0.359, 0.484], [0.641, 0.125, 0.016], [0.875, 0.891, 0.516], [0.250, 0.750, 0.500], [0.500, 0.500, 0.000], [0.000, 0.000, 0.000], [0.750, 0.250, 0.500]],
  "raw_formation_energy_ev_per_atom": -0.021,
  "crystal_system": "tetragonal"
}

Record 7
{
  "formula": "YSiSe2",
  "functional": "meta-GGA SCAN",
  "state": "PBEsol geometry",
  "lattice_angstrom": [[1.810, 1.045, 8.393], [-1.810, 1.045, 8.393], [0.000, -2.090, 8.393]],
  "species": ["Y", "Si", "Se", "Se"],
  "fractional_positions": [[0.000, 0.000, 0.000], [0.500, 0.500, 0.500], [0.110, 0.110, 0.110], [0.890, 0.890, 0.890]],
  "raw_formation_energy_ev_per_atom": -0.390,
  "crystal_system": "trigonal"
}

Record 8
{
  "formula": "Sc2TlIr",
  "functional": "meta-GGA SCAN",
  "state": "PBEsol geometry",
  "lattice_angstrom": [[0.000, 3.305, 3.305], [3.305, 0.000, 3.305], [3.305, 3.305, 0.000]],
  "species": ["Sc", "Sc", "Tl", "Ir"],
  "fractional_positions": [[0.000, 0.000, 0.000], [0.250, 0.250, 0.250], [0.500, 0.500, 0.500], [0.750, 0.750, 0.750]],
  "formation_energy_ev_per_atom": -0.57,
  "crystal_system": "cubic"
}

Record 9
{
  "formula": "Mn2CuNiSb2",
  "functional": "meta-GGA SCAN",
  "state": "PBEsol geometry",
  "lattice_angstrom": [[2.086, 1.204, 6.823], [-2.086, 1.204, 6.823], [0.000, -2.408, 6.823]],
  "species": ["Mn", "Mn", "Cu", "Ni", "Sb", "Sb"],
  "fractional_positions": [[0.000, 0.000, 0.000], [0.495, 0.495, 0.495], [0.623, 0.623, 0.623], [0.122, 0.122, 0.122], [0.245, 0.245, 0.245], [0.750, 0.750, 0.750]],
  "raw_formation_energy_ev_per_atom": -0.343,
  "crystal_system": "trigonal"
}

Record 10
{
  "formula": "TaBeIr4",
  "functional": "meta-GGA SCAN",
  "state": "PBEsol geometry",
  "lattice_angstrom": [[0.000, 3.584, 3.584], [3.584, 0.000, 3.584], [3.584, 3.584, 0.000]],
  "species": ["Ta", "Be", "Ir", "Ir", "Ir", "Ir"],
  "fractional_positions": [[0.000, 0.000, 0.000], [0.750, 0.750, 0.750], [0.376, 0.376, 0.376], [0.376, 0.376, 0.873], [0.376, 0.873, 0.376], [0.873, 0.376, 0.376]],
  "formation_energy_ev_per_atom": 0.06,
  "crystal_system": "cubic"
}

Record 11
{
  "formula": "YPNO2",
  "functional": "meta-GGA SCAN",
  "state": "PBEsol geometry",
  "lattice_angstrom": [[4.022, 0.000, 0.000], [0.000, 4.022, 0.000], [0.000, 0.000, 3.531]],
  "species": ["Y", "P", "N", "O", "O"],
  "fractional_positions": [[0.000, 0.000, 0.000], [0.500, 0.500, 0.000], [0.500, 0.500, 0.500], [0.000, 0.500, 0.500], [0.500, 0.000, 0.500]],
  "raw_formation_energy_ev_per_atom": -0.344,
  "crystal_system": "tetragonal"
}

Record 12
{
  "formula": "Be2NiIr",
  "functional": "meta-GGA SCAN",
  "state": "PBEsol geometry",
  "lattice_angstrom": [[2.724, 0.000, 0.000], [0.000, 2.724, 0.000], [0.000, 0.000, 5.290]],
  "species": ["Be", "Be", "Ni", "Ir"],
  "fractional_positions": [[0.000, 0.000, 0.240], [0.000, 0.000, 0.760], [0.500, 0.500, 0.000], [0.500, 0.500, 0.500]],
  "formation_energy_ev_per_atom": -0.66,
  "crystal_system": "tetragonal"
}